1.
A geometry-optimized NaCr3B structure. Source: Alexandria via LeMat-Bulk, functional PBE.

The calculation puts the size of the total moment at 2.749 μB per atom. Its theoretical density is 2.69 Mg/m³. Its formation energy is 13.8 eV per formula unit. As for the total energy: -23.1 eV per formula unit. As for the polymorph energy (0 for the lowest one): 9.43 eV/f.u.

The space group is Pm-3m (No. 221) and the conventional cell measures 4.890, 4.890 and 4.890 Å, with angles of 90.00, 90.00 and 90.00 degrees. The asymmetric unit holds Na at (0.000, 0.000, 0.000), Cr at (0.000, 0.000, 0.500) and B at (0.500, 0.500, 0.500).

---

2.
A geometry-optimized NaCr3B structure. Source: Alexandria via LeMat-Bulk, functional PBE.

The calculation puts the size of the total moment at 0.397 μB per atom. Its theoretical density is 4.81 Mg/m³. Its formation energy is 4.3 eV per formula unit. As for the total energy: -32.5 eV per formula unit. As for the polymorph energy (0 for the lowest one): 0.00 eV/f.u.

The space group is Pm-3m (No. 221) and the conventional cell measures 4.032, 4.032 and 4.032 Å, with angles of 90.00, 90.00 and 90.00 degrees. The asymmetric unit holds Na at (0.000, 0.000, 0.000), Cr at (0.000, 0.500, 0.500) and B at (0.500, 0.500, 0.500).